Computed, not measured: a geometry-optimized Rb2BaMoO4 structure at the PBE with a Hubbard U level of DFT.

a b c (Å): 6.107 6.107 6.107
angles (deg): 98.29 115.33 115.33
Element x y z (fractional)
Rb (0.500, 0.750, 0.250)
Rb (0.000, 0.000, 0.000)
Ba (0.500, 0.250, 0.750)
Mo (0.000, 0.500, 0.500)
O (0.599, 0.334, 0.381)
O (0.047, 0.266, 0.666)
O (0.953, 0.619, 0.219)
O (0.401, 0.781, 0.734)

Calculated values
E: -45.2 eV/f.u.